Record 1
The following is a DFT calculation (PBE-GGA) of a relaxed AcAg2Se3 crystal.

Calculated values
Total moment   0.000 μB/atom
Formation energy without anion corrections   -0.7506 eV per atom
Fermi-level density of states   8.767 states/eV per cell
SG   Cmcm, No. 63
DFT total energy   -4.128 eV/atom

Cell: 7.8917 7.8917 5.4777 Å, 90.00 90.00 110.38°
Last column: nearest neighbours and their distance in Å.
Fractional positions:
Ac1 0.2291 0.7709 0.7500  8 Se 3.14-3.37
Ac2 0.7709 0.2291 0.2500  8 Se 3.14-3.37
Ag1 0.3012 0.3012 0.0000  4 Se 2.65-2.79, 2 Ag 2.74
Ag2 0.3012 0.3012 0.5000  4 Se 2.65-2.79, 2 Ag 2.74
Ag3 0.6988 0.6988 0.0000  4 Se 2.65-2.79, 2 Ag 2.74
Ag4 0.6988 0.6988 0.5000  4 Se 2.65-2.79, 2 Ag 2.74
Se1 0.0339 0.3490 0.7500  2 Ag 2.65
Se2 0.3490 0.0339 0.2500  2 Ag 2.65
Se3 0.3730 0.6270 0.2500  4 Ag 2.79
Se4 0.6270 0.3730 0.7500  4 Ag 2.79
Se5 0.6510 0.9661 0.7500  2 Ag 2.65
Se6 0.9661 0.6510 0.2500  2 Ag 2.65


Record 2
The following is a DFT calculation (PBE-GGA) of a relaxed Ac6AgSe5 crystal.

Calculated values
Total moment   0.000 μB/atom
Formation energy without anion corrections   -1.5762 eV per atom
Fermi-level density of states   6.992 states/eV per cell
SG   C2/m, No. 12
DFT total energy   -5.320 eV/atom

Cell: 7.8034 7.8034 7.7925 Å, 99.65 99.65 119.95°
Last column: nearest neighbours and their distance in Å.
Fractional positions:
Ac1 0.0810 0.4172 0.7494  5 Se 3.15-3.19, 1 Ag 3.20
Ac2 0.2485 0.2485 0.2521  5 Se 3.16-3.19, 1 Ag 3.21
Ac3 0.4172 0.0810 0.7494  5 Se 3.15-3.19, 1 Ag 3.20
Ac4 0.5828 0.9190 0.2506  5 Se 3.15-3.19, 1 Ag 3.20
Ac5 0.7515 0.7515 0.7479  5 Se 3.16-3.19, 1 Ag 3.21
Ac6 0.9190 0.5828 0.2506  5 Se 3.15-3.19, 1 Ag 3.20
Ag1 0.5000 0.5000 0.0000  6 Ac 3.20-3.21
Se1 0.0000 0.0000 0.5000  6 Ac 3.16-3.19
Se2 0.1659 0.8341 0.0000  6 Ac 3.18-3.19
Se3 0.3320 0.6680 0.5000  6 Ac 3.15-3.19
Se4 0.6680 0.3320 0.5000  6 Ac 3.15-3.19
Se5 0.8341 0.1659 0.0000  6 Ac 3.18-3.19